Pm2MgAl12Ni3 | PBE | optimized geometry

- DFT formation energy: 31 meV/atom
- Crystal system: trigonal

Cell and atoms, written as CIF:
```
data_Pm2MgAl12Ni3
_chemical_formula_sum 'Pm2 Mg1 Al12 Ni3'
_space_group_name_H-M_alt 'P 1'
_space_group_IT_number 1
_space_group_name_Hall 'P 1'
_cell_length_a 7.8122
_cell_length_b 7.8122
_cell_length_c 7.8122
_cell_angle_alpha 64.77
_cell_angle_beta 64.77
_cell_angle_gamma 64.77
loop_
_atom_site_label
_atom_site_fract_x
_atom_site_fract_y
_atom_site_fract_z
Pm1 0.0825 0.0825 0.0825
Pm2 0.9175 0.9175 0.9175
Mg1 0.5000 0.5000 0.5000
Al1 0.0459 0.6611 0.6611
Al2 0.2428 0.2428 0.6218
Al3 0.2428 0.6218 0.2428
Al4 0.3389 0.3389 0.9541
Al5 0.3389 0.9541 0.3389
Al6 0.3782 0.7572 0.7572
Al7 0.6218 0.2428 0.2428
Al8 0.6611 0.0459 0.6611
Al9 0.6611 0.6611 0.0459
Al10 0.7572 0.3782 0.7572
Al11 0.7572 0.7572 0.3782
Al12 0.9541 0.3389 0.3389
Ni1 0.0000 0.5000 0.5000
Ni2 0.5000 0.0000 0.5000
Ni3 0.5000 0.5000 0.0000
```